Entry one
# Ho4CdAg (PBE, relaxed)
data_Ho4CdAg
_chemical_formula_sum 'Ho4 Cd1 Ag1'
_cell_length_a 3.573
_cell_length_b 3.573
_cell_length_c 12.770
_cell_angle_alpha 90.00
_cell_angle_beta 90.00
_cell_angle_gamma 90.00
_symmetry_space_group_name_H-M 'P 4/m m m'
_symmetry_Int_Tables_number 123
_symmetry_space_group_name_Hall '-P 4 2'
loop_
_atom_site_label
_atom_site_type_symbol
_atom_site_fract_x
_atom_site_fract_y
_atom_site_fract_z
Ho1 Ho 0.000 0.000 0.145
Ho2 Ho 0.500 0.500 0.338
Cd1 Cd 0.000 0.000 0.500
Ag1 Ag 0.500 0.500 0.000
# DOS(E_F): 1.15 states/eV/atom
# magnetization: 2.06 μB/f.u.


Entry two
# Ho4CdAg (PBE, relaxed)
data_Ho4CdAg
_chemical_formula_sum 'Ho8 Cd2 Ag2'
_cell_length_a 6.160
_cell_length_b 9.213
_cell_length_c 6.096
_cell_angle_alpha 90.00
_cell_angle_beta 108.49
_cell_angle_gamma 90.00
_symmetry_space_group_name_H-M 'P 1 21/c 1'
_symmetry_Int_Tables_number 14
_symmetry_space_group_name_Hall '-P 2ybc'
loop_
_atom_site_label
_atom_site_type_symbol
_atom_site_fract_x
_atom_site_fract_y
_atom_site_fract_z
Ho1 Ho 0.097 0.164 0.104
Ho2 Ho 0.394 0.660 0.911
Cd1 Cd 0.500 0.000 0.000
Ag1 Ag 0.000 0.000 0.500
# DOS(E_F): 0.92 states/eV/atom
# magnetization: 0.00 μB/f.u.


The energy of each structure relative to the most stable one, in meV/atom, is as follows: entry one 0; entry two 139.


Entry one
# Ho4Cd5Ag (PBE, relaxed)
data_Ho4Cd5Ag
_chemical_formula_sum 'Ho8 Cd10 Ag2'
_cell_length_a 15.611
_cell_length_b 5.095
_cell_length_c 6.435
_cell_angle_alpha 90.00
_cell_angle_beta 106.61
_cell_angle_gamma 90.00
_symmetry_space_group_name_H-M 'C 1 2/m 1'
_symmetry_Int_Tables_number 12
_symmetry_space_group_name_Hall '-C 2y'
loop_
_atom_site_label
_atom_site_type_symbol
_atom_site_fract_x
_atom_site_fract_y
_atom_site_fract_z
Ho1 Ho 0.096 0.000 0.391
Ho2 Ho 0.190 0.500 0.804
Cd1 Cd 0.000 0.500 0.000
Cd2 Cd 0.100 0.000 0.911
Cd3 Cd 0.200 0.500 0.304
Ag1 Ag 0.000 0.500 0.500
# DOS(E_F): 0.63 states/eV/atom
# magnetization: 0.00 μB/f.u.


Entry two
# Ho4Cd5Ag (PBE, relaxed)
data_Ho4Cd5Ag
_chemical_formula_sum 'Ho4 Cd5 Ag1'
_cell_length_a 3.661
_cell_length_b 3.661
_cell_length_c 18.310
_cell_angle_alpha 90.00
_cell_angle_beta 90.00
_cell_angle_gamma 90.00
_symmetry_space_group_name_H-M 'P 4/m m m'
_symmetry_Int_Tables_number 123
_symmetry_space_group_name_Hall '-P 4 2'
loop_
_atom_site_label
_atom_site_type_symbol
_atom_site_fract_x
_atom_site_fract_y
_atom_site_fract_z
Ho1 Ho 0.000 0.000 0.104
Ho2 Ho 0.000 0.000 0.311
Cd1 Cd 0.500 0.500 0.000
Cd2 Cd 0.500 0.500 0.207
Cd3 Cd 0.500 0.500 0.415
Ag1 Ag 0.000 0.000 0.500
# DOS(E_F): 0.81 states/eV/atom
# magnetization: 0.00 μB/f.u.


The energy of each structure relative to the most stable one, in meV/atom, is as follows: entry one 0; entry two 18.


Entry one
# Ho3Cd2Ag3 (PBE, relaxed)
data_Ho3Cd2Ag3
_chemical_formula_sum 'Ho3 Cd2 Ag3'
_cell_length_a 7.4528
_cell_length_b 7.4528
_cell_length_c 3.9966
_cell_angle_alpha 90.00
_cell_angle_beta 90.00
_cell_angle_gamma 120.00
_symmetry_space_group_name_H-M 'P -6 2 m'
_symmetry_Int_Tables_number 189
_symmetry_space_group_name_Hall 'P -6 -2'
loop_
_atom_site_label
_atom_site_type_symbol
_atom_site_fract_x
_atom_site_fract_y
_atom_site_fract_z
Ho1 Ho 0.0000 0.6358 0.0000
Cd1 Cd 0.3333 0.6667 0.5000
Ag1 Ag 0.0000 0.2326 0.5000
# DOS(E_F): 0.79 states/eV/atom
# magnetization: 0.00 μB/f.u.


Entry two
# Ho3Cd2Ag3 (PBE, relaxed)
data_Ho3Cd2Ag3
_chemical_formula_sum 'Ho6 Cd4 Ag6'
_cell_length_a 3.693
_cell_length_b 5.086
_cell_length_c 19.879
_cell_angle_alpha 90.00
_cell_angle_beta 90.00
_cell_angle_gamma 90.00
_symmetry_space_group_name_H-M 'I m m m'
_symmetry_Int_Tables_number 71
_symmetry_space_group_name_Hall '-I 2 2'
loop_
_atom_site_label
_atom_site_type_symbol
_atom_site_fract_x
_atom_site_fract_y
_atom_site_fract_z
Ho1 Ho 0.000 0.000 0.000
Ho2 Ho 0.000 0.500 0.128
Cd1 Cd 0.000 0.000 0.238
Ag1 Ag 0.000 0.000 0.500
Ag2 Ag 0.000 0.500 0.377
# DOS(E_F): 0.62 states/eV/atom
# magnetization: 0.00 μB/f.u.


The energy of each structure relative to the most stable one, in meV/atom, is as follows: entry one 73; entry two 0.